No. 1
Density functional theory data (PBE) for crystalline Ba3Rh4 at its relaxed geometry.

calculated volume: 213.0 Å³ per cell
total energy: -4.43 eV/atom
ΔE_f: 4.14 eV/f.u.
total magnetic moment: 0.00 μB per formula unit
D(E_F): 6.619 states/eV per cell

a b c (Å): 7.3827 7.3827 4.5118
angles (deg): 90.00 90.00 120.00
Space group P6/mmm (No. 191)
Symmetry-distinct sites (fractional):
Ba 0.0000 0.5000 0.0000 (multiplicity 3)
Rh 0.0000 0.0000 0.2499 (multiplicity 2)
Rh 0.3333 0.6667 0.5000 (multiplicity 2)



No. 2
Density functional theory data (PBE) for crystalline Ba4Rh at its relaxed geometry.

E above lowest polymorph: 0 meV per atom
calculated volume: 2080.2 Å³ per cell
total energy: -3.17 eV/atom
ΔE_f: -0.79 eV/f.u.
total magnetic moment: 0.40 μB per formula unit
D(E_F): 41.321 states/eV per cell

a b c (Å): 14.8513 15.3823 9.1057
angles (deg): 90.00 90.00 90.00
Space group Fdd2 (No. 43)
Symmetry-distinct sites (fractional):
Ba 0.1152 0.4149 0.0000 (multiplicity 16)
Ba 0.1160 0.4093 0.5194 (multiplicity 16)
Rh 0.0000 0.0000 0.2744 (multiplicity 8)



No. 3
Density functional theory data (PBE) for crystalline Ba2Rh at its relaxed geometry.

calculated volume: 466.2 Å³ per cell
total energy: -3.84 eV/atom
ΔE_f: -0.33 eV/f.u.
total magnetic moment: 0.00 μB per formula unit
D(E_F): 13.985 states/eV per cell

a b c (Å): 7.7541 7.7541 7.7541
angles (deg): 90.00 90.00 90.00
Space group Pa-3 (No. 205)
Symmetry-distinct sites (fractional):
Ba 0.1690 0.1690 0.1690 (multiplicity 8)
Rh 0.0000 0.0000 0.5000 (multiplicity 4)



No. 4
Density functional theory data (PBE) for crystalline BaRuRh2 at its relaxed geometry.

E above lowest polymorph: 0 meV per atom
calculated volume: 287.2 Å³ per cell
total energy: -6.32 eV/atom
ΔE_f: 0.63 eV/f.u.
total magnetic moment: 1.86 μB per formula unit
D(E_F): 20.433 states/eV per cell

a b c (Å): 4.4262 4.4262 16.9258
angles (deg): 90.00 90.00 120.00
Space group R-3m (No. 166, hexagonal axes)
Symmetry-distinct sites (fractional):
Ba 0.0000 0.0000 0.0000 (multiplicity 3)
Ru 0.0000 0.0000 0.5000 (multiplicity 3)
Rh 0.0000 0.0000 0.1897 (multiplicity 6)



> Which of these has the highest calculated volume?

Ba4Rh